! PaMn2CuO8 PBE with a Hubbard U optimized geometry; values from VASP
&SYSTEM
  ibrav = 0, nat = 12, ntyp = 4
/
ATOMIC_SPECIES
Pa 231.04 Pa.upf
Mn 54.94 Mn.upf
Cu 63.55 Cu.upf
O 16.00 O.upf
CELL_PARAMETERS angstrom
-2.544 2.544 5.538
2.544 -2.544 5.538
2.544 2.544 -5.538
ATOMIC_POSITIONS crystal
Pa 0.000 0.000 0.000
Mn 0.500 0.500 0.000
Mn 0.750 0.250 0.500
Cu 0.250 0.750 0.500
O 0.000 0.991 0.371
O 0.009 0.381 0.009
O 0.162 0.617 0.910
O 0.372 0.000 0.991
O 0.383 0.293 0.546
O 0.619 0.628 0.629
O 0.707 0.252 0.090
O 0.748 0.838 0.454
! * space group: I-4 (82)
! * calculated total energy: -7.1705 eV per atom
! * total moment: 4.05 Bohr magnetons per cell